# 1
TaNbCr | PBE | relaxed

Summary:
energy relative to the elements = 0.093 eV/atom
offset from the most stable computed form = 81 meV/atom
crystal system = trigonal
symmetry = No. 156

Lattice parameters (Å, degrees): 4.4073 4.4073 2.8830 90.00 90.00 120.00
With the nearest neighbours (Å) after each atom.
Sites, in units of the cell vectors:
Ta 0.0000 0.0000 0.0000  3 Cr 2.71, 3 Nb 2.76, 2 Ta 2.88
Nb 0.6667 0.3333 0.3740  3 Cr 2.69, 3 Ta 2.76, 2 Nb 2.88
Cr 0.3333 0.6667 0.6792  3 Nb 2.69, 3 Ta 2.71, 2 Cr 2.88

# 2
TaNb3Cr8 | PBE | relaxed

Summary:
energy relative to the elements = -0.065 eV/atom
crystal system = trigonal
symmetry = No. 156

Lattice parameters (Å, degrees): 4.9037 4.9037 8.0697 90.00 90.00 120.00
With the nearest neighbours (Å) after each atom.
Sites, in units of the cell vectors:
Ta 0.0000 0.0000 0.0000  12 Cr 2.86-2.89, 4 Nb 2.99-3.07
Nb 0.0000 0.0000 0.3804  12 Cr 2.87-2.89, 3 Nb 2.99, 1 Ta 3.07
Nb 0.6667 0.3333 0.4995  12 Cr 2.86-2.90, 4 Nb 2.99-3.08
Nb 0.6667 0.3333 0.8810  12 Cr 2.85-2.89, 3 Ta 2.99, 1 Nb 3.08
Cr 0.1637 0.3273 0.6909  6 Cr 2.41-2.50
Cr 0.1637 0.8363 0.6909  6 Cr 2.41-2.50
Cr 0.3333 0.6667 0.4410  6 Cr 2.48-2.49
Cr 0.3333 0.6667 0.9400  6 Cr 2.47-2.48
Cr 0.5028 0.0055 0.1899  6 Cr 2.41-2.49
Cr 0.5028 0.4972 0.1899  6 Cr 2.41-2.49
Cr 0.6727 0.8363 0.6909  6 Cr 2.41-2.50
Cr 0.9945 0.4972 0.1899  6 Cr 2.41-2.49

# 3
TaNbCr | PBE | relaxed

Summary:
energy relative to the elements = 0.012 eV/atom
offset from the most stable computed form = 0 meV/atom
crystal system = tetragonal
symmetry = No. 107

Lattice parameters (Å, degrees): 5.3686 5.3686 5.3686 145.99 145.99 48.87
With the nearest neighbours (Å) after each atom.
Sites, in units of the cell vectors:
Ta 0.0000 0.0000 0.0000  4 Cr 2.69, 4 Nb 2.89
Nb 0.6890 0.6890 0.0000  4 Cr 2.69, 4 Ta 2.89
Cr 0.3449 0.3449 0.0000  4 Ta 2.69, 4 Nb 2.69

# 4
TaNb2Cr | PBE | relaxed

Summary:
energy relative to the elements = 0.090 eV/atom
offset from the most stable computed form = 46 meV/atom
crystal system = cubic
symmetry = No. 225

Lattice parameters (Å, degrees): 4.5514 4.5514 4.5514 60.00 60.00 60.00
With the nearest neighbours (Å) after each atom.
Sites, in units of the cell vectors:
Ta 0.0000 0.0000 0.0000  8 Nb 2.79
Nb 0.2500 0.2500 0.2500  4 Cr 2.79, 4 Ta 2.79
Nb 0.7500 0.7500 0.7500  4 Cr 2.79, 4 Ta 2.79
Cr 0.5000 0.5000 0.5000  8 Nb 2.79